Compound: Nb2GaFe5B2
Source: the Alexandria database
Functional: GGA-PBE
Structure: optimized geometry

Cell: 2.9182 8.7089 8.7089 Å, 90.00 90.00 90.00°
Fractional positions:
Nb (0.0000, 0.6766, 0.1766)
Nb (0.0000, 0.3234, 0.8234)
Nb (0.0000, 0.1766, 0.3234)
Nb (0.0000, 0.8234, 0.6766)
Ga (0.0000, 0.0000, 0.0000)
Ga (0.0000, 0.5000, 0.5000)
Fe (0.5000, 0.2196, 0.0681)
Fe (0.5000, 0.7804, 0.9319)
Fe (0.5000, 0.0681, 0.7804)
Fe (0.5000, 0.7196, 0.4319)
Fe (0.5000, 0.9319, 0.2196)
Fe (0.5000, 0.2804, 0.5681)
Fe (0.5000, 0.5681, 0.7196)
Fe (0.5000, 0.4319, 0.2804)
Fe (0.5000, 0.5000, 0.0000)
Fe (0.5000, 0.0000, 0.5000)
B (0.0000, 0.1215, 0.6215)
B (0.0000, 0.8785, 0.3785)
B (0.0000, 0.6215, 0.8785)
B (0.0000, 0.3785, 0.1215)

Calculated values
DFT total energy ... -8.272 eV per atom
Crystal system ... tetragonal
Space-group type ... No. 127
Formation enthalpy at 0 K ... -0.389 eV/atom